DFT (PBEsol) results for an optimized crystal structure of PbSeO3.

Unit cell a=4.4844 b=5.5361 c=6.5599 alpha=90.00 beta=106.62 gamma=90.00
Sites, in units of the cell vectors:
Pb (0.1386, 0.2500, 0.3018)
Pb (0.8614, 0.7500, 0.6982)
Se (0.4125, 0.2500, 0.8446)
Se (0.5875, 0.7500, 0.1554)
O (0.1924, 0.7500, 0.1116)
O (0.3002, 0.0120, 0.6680)
O (0.3002, 0.4880, 0.6680)
O (0.6998, 0.5120, 0.3320)
O (0.6998, 0.9880, 0.3320)
O (0.8076, 0.2500, 0.8884)

Calculated total energy ... -5.75 eV per atom